1.
This record from the Alexandria database describes a relaxed TiHgCl2 crystal. The functional is GGA-PBEsol.

```
TiHgCl2
1.0
1.5954 0.9211 10.0382
-1.5954 0.9211 10.0382
0.0000 -1.8423 10.0382
Ti Hg Cl
1 1 2
direct
0.0000 0.0000 0.0000 Ti
0.5000 0.5000 0.5000 Hg
0.3866 0.3866 0.3866 Cl
0.6134 0.6134 0.6134 Cl
```

Computed properties:
energy = -4.28 eV/atom
ΔE_f (raw) = -1052.1 meV/atom
DOS(E_F) = 1.899 states/eV per cell
symmetry = R-3m
density = 6.0 g cm⁻³

***

2.
This record from the Alexandria database describes a relaxed MgS2 crystal. The functional is GGA-PBEsol.

```
MgS2
1.0
1.9657 -3.4026 0.0000
1.9657 3.4026 0.0000
0.0000 0.0000 9.0904
Mg S
2 4
direct
0.0013 0.9987 0.5000 Mg
0.9987 0.0013 0.0000 Mg
0.3325 0.6675 0.8649 S
0.3345 0.6655 0.6350 S
0.6655 0.3345 0.1350 S
0.6675 0.3325 0.3649 S
```

Computed properties:
energy = -4.36 eV/atom
ΔE_f (raw) = -861.2 meV/atom
symmetry = Cmc2_1
density = 2.4 g cm⁻³

***

3.
This record from the Alexandria database describes a relaxed ErGaO3 crystal. The functional is GGA-PBEsol.

```
ErGaO3
1.0
5.5272 0.0000 0.0000
0.0000 7.4818 0.0000
0.0000 0.0000 5.1945
Er Ga O
4 4 12
direct
0.0727 0.2500 0.0211 Er
0.4273 0.7500 0.5211 Er
0.5727 0.2500 0.4789 Er
0.9273 0.7500 0.9789 Er
0.0000 0.0000 0.5000 Ga
0.0000 0.5000 0.5000 Ga
0.5000 0.0000 0.0000 Ga
0.5000 0.5000 0.0000 Ga
0.0403 0.7500 0.3841 O
0.1938 0.5585 0.8088 O
0.1938 0.9415 0.8088 O
0.3062 0.0585 0.3088 O
0.3062 0.4415 0.3088 O
0.4597 0.2500 0.8841 O
0.5403 0.7500 0.1159 O
0.6938 0.5585 0.6912 O
0.6938 0.9415 0.6912 O
0.8062 0.0585 0.1912 O
0.8062 0.4415 0.1912 O
0.9597 0.2500 0.6159 O
```

Computed properties:
energy = -7.62 eV/atom
ΔE_f (raw) = -2813.0 meV/atom
DOS(E_F) = 0.000 states/eV per cell
symmetry = Pnma
density = 8.8 g cm⁻³

***

4.
This record from the Alexandria database describes a relaxed SnBNF2 crystal. The functional is GGA-PBEsol.

```
SnBNF2
1.0
4.4949 0.0000 0.0000
0.0000 4.4949 0.0000
0.0000 0.0000 2.7451
Sn B N F
1 1 1 2
direct
0.0000 0.0000 0.0000 Sn
0.5000 0.5000 0.5000 B
0.5000 0.5000 0.0000 N
0.0000 0.5000 0.5000 F
0.5000 0.0000 0.5000 F
```

Computed properties:
energy = -5.81 eV/atom
ΔE_f (raw) = -1079.7 meV/atom
DOS(E_F) = 0.720 states/eV per cell
symmetry = P4/mmm
density = 5.4 g cm⁻³

***

5.
This record from the Alexandria database describes a relaxed Mn2PbAuO crystal. The functional is GGA-PBEsol.

```
Mn2PbAuO
1.0
3.9450 0.0000 0.0000
0.0000 3.9450 0.0000
0.0000 0.0000 5.4367
Mn Pb Au O
2 1 1 1
direct
0.0000 0.5000 0.0000 Mn
0.5000 0.0000 0.0000 Mn
0.0000 0.0000 0.5000 Pb
0.5000 0.5000 0.5000 Au
0.5000 0.5000 0.0000 O
```

Computed properties:
energy = -6.59 eV/atom
ΔE_f (raw) = -47.1 meV/atom
DOS(E_F) = 3.456 states/eV per cell
symmetry = P4/mmm
density = 10.4 g cm⁻³

***

6.
This record from the Alexandria database describes a relaxed Co3BiO8 crystal. The functional is GGA-PBEsol.

```
Co3BiO8
1.0
8.2857 0.0000 0.0000
0.0000 8.2857 0.0000
0.0000 0.0000 8.2857
Co Bi O
12 4 32
direct
0.0988 0.3488 0.1250 Co
0.1250 0.0988 0.3488 Co
0.1512 0.8750 0.5988 Co
0.3488 0.1250 0.0988 Co
0.3750 0.9012 0.8488 Co
0.4012 0.6512 0.6250 Co
0.5988 0.1512 0.8750 Co
0.6250 0.4012 0.6512 Co
0.6512 0.6250 0.4012 Co
0.8488 0.3750 0.9012 Co
0.8750 0.5988 0.1512 Co
0.9012 0.8488 0.3750 Co
0.1250 0.6250 0.8750 Bi
0.3750 0.3750 0.3750 Bi
0.6250 0.8750 0.1250 Bi
0.8750 0.1250 0.6250 Bi
0.0716 0.3592 0.9026 O
0.0974 0.5716 0.1408 O
0.1092 0.3216 0.3474 O
0.1225 0.8775 0.3775 O
0.1275 0.1275 0.1275 O
0.1408 0.0974 0.5716 O
0.1526 0.8908 0.8216 O
0.1784 0.6526 0.6092 O
0.3216 0.3474 0.1092 O
0.3474 0.1092 0.3216 O
0.3592 0.9026 0.0716 O
0.3725 0.8725 0.6275 O
0.3775 0.1225 0.8775 O
0.3908 0.6784 0.8474 O
0.4026 0.4284 0.6408 O
0.4284 0.6408 0.4026 O
0.5716 0.1408 0.0974 O
0.5974 0.9284 0.8592 O
0.6092 0.1784 0.6526 O
0.6225 0.6225 0.6225 O
0.6275 0.3725 0.8725 O
0.6408 0.4026 0.4284 O
0.6526 0.6092 0.1784 O
0.6784 0.8474 0.3908 O
0.8216 0.1526 0.8908 O
0.8474 0.3908 0.6784 O
0.8592 0.5974 0.9284 O
0.8725 0.6275 0.3725 O
0.8775 0.3775 0.1225 O
0.8908 0.8216 0.1526 O
0.9026 0.0716 0.3592 O
0.9284 0.8592 0.5974 O
```

Computed properties:
energy = -6.70 eV/atom
ΔE_f (raw) = -913.7 meV/atom
DOS(E_F) = 25.479 states/eV per cell
symmetry = P4_132
density = 6.0 g cm⁻³

***

7.
This record from the Alexandria database describes a relaxed CsTbCdTe3 crystal. The functional is GGA-PBEsol.

```
CsTbCdTe3
1.0
2.2270 -8.3737 0.0000
2.2270 8.3737 0.0000
0.0000 0.0000 11.6360
Cs Tb Cd Te
2 2 2 6
direct
0.2491 0.7509 0.7500 Cs
0.7509 0.2491 0.2500 Cs
0.0000 0.0000 0.0000 Tb
0.0000 0.0000 0.5000 Tb
0.4618 0.5382 0.2500 Cd
0.5382 0.4618 0.7500 Cd
0.0671 0.9329 0.2500 Te
0.3757 0.6243 0.0457 Te
0.3757 0.6243 0.4543 Te
0.6243 0.3757 0.5457 Te
0.6243 0.3757 0.9543 Te
0.9329 0.0671 0.7500 Te
```

Computed properties:
energy = -4.02 eV/atom
ΔE_f (raw) = -1067.1 meV/atom
DOS(E_F) = 0.000 states/eV per cell
symmetry = Cmcm
density = 6.0 g cm⁻³

***

8.
This record from the Alexandria database describes a relaxed SrMgCd4 crystal. The functional is GGA-PBEsol.

```
SrMgCd4
1.0
0.0000 4.1771 4.1771
4.1771 0.0000 4.1771
4.1771 4.1771 0.0000
Sr Mg Cd
1 1 4
direct
0.0000 0.0000 0.0000 Sr
0.2500 0.2500 0.2500 Mg
0.1253 0.6249 0.6249 Cd
0.6249 0.1253 0.6249 Cd
0.6249 0.6249 0.1253 Cd
0.6249 0.6249 0.6249 Cd
```

Computed properties:
energy = -1.58 eV/atom
DOS(E_F) = 2.349 states/eV per cell
symmetry = F-43m
density = 6.4 g cm⁻³

***

9.
This record from the Alexandria database describes a relaxed GePdO3 crystal. The functional is GGA-PBEsol.

```
GePdO3
1.0
3.8823 0.0000 0.0000
0.0000 3.8823 0.0000
0.0000 0.0000 3.8823
Ge Pd O
1 1 3
direct
0.0000 0.0000 0.0000 Ge
0.5000 0.5000 0.5000 Pd
0.0000 0.5000 0.5000 O
0.5000 0.0000 0.5000 O
0.5000 0.5000 0.0000 O
```

Computed properties:
energy = -5.51 eV/atom
ΔE_f (raw) = -177.8 meV/atom
DOS(E_F) = 3.117 states/eV per cell
symmetry = Pm-3m
density = 6.4 g cm⁻³

***

10.
This record from the Alexandria database describes a relaxed Na2Mg5P4O16 crystal. The functional is GGA-PBEsol.

```
Na2Mg5P4O16
1.0
5.1782 0.0000 0.0000
-1.6376 7.7658 0.0000
-0.0657 -2.9443 7.5767
Na Mg P O
2 5 4 16
direct
0.0649 0.0372 0.2958 Na
0.9351 0.9628 0.7042 Na
0.1366 0.4076 0.6718 Mg
0.4069 0.7459 0.2202 Mg
0.5000 0.0000 0.0000 Mg
0.5931 0.2541 0.7798 Mg
0.8634 0.5924 0.3282 Mg
0.1189 0.3020 0.0285 P
0.3675 0.7882 0.5697 P
0.6325 0.2118 0.4303 P
0.8811 0.6980 0.9715 P
0.1567 0.4940 0.1755 O
0.1717 0.8164 0.4371 O
0.1817 0.7841 0.0323 O
0.2311 0.6311 0.6233 O
0.2434 0.1704 0.0854 O
0.2576 0.3265 0.8651 O
0.3865 0.2468 0.5323 O
0.4332 0.9716 0.7338 O
0.5668 0.0284 0.2662 O
0.6135 0.7532 0.4677 O
0.7424 0.6735 0.1349 O
0.7566 0.8296 0.9146 O
0.7689 0.3689 0.3767 O
0.8183 0.2159 0.9677 O
0.8283 0.1836 0.5629 O
0.8433 0.5060 0.8245 O
```

Computed properties:
energy = -6.96 eV/atom
ΔE_f (raw) = -2572.4 meV/atom
DOS(E_F) = 0.000 states/eV per cell
symmetry = P-1
density = 3.0 g cm⁻³

***

11.
This record from the Alexandria database describes a relaxed Hf3Tl2Cu2Se8 crystal. The functional is GGA-PBEsol.

```
Hf3Tl2Cu2Se8
1.0
7.2584 -1.8765 0.0000
7.2584 1.8765 0.0000
-5.7325 0.0000 12.9504
Hf Tl Cu Se
3 2 2 8
direct
0.0000 0.0000 0.0000 Hf
0.1591 0.1591 0.3784 Hf
0.8409 0.8409 0.6216 Hf
0.1604 0.1604 0.7961 Tl
0.8396 0.8396 0.2039 Tl
0.4530 0.4530 0.8030 Cu
0.5470 0.5470 0.1970 Cu
0.1499 0.1499 0.1882 Se
0.1982 0.1982 0.5801 Se
0.3927 0.3927 0.0445 Se
0.4784 0.4784 0.6458 Se
0.5216 0.5216 0.3542 Se
0.6073 0.6073 0.9555 Se
0.8018 0.8018 0.4199 Se
0.8501 0.8501 0.8118 Se
```

Computed properties:
energy = -6.04 eV/atom
ΔE_f (raw) = -952.6 meV/atom
symmetry = C2/m
density = 8.0 g cm⁻³

***

12.
This record from the Alexandria database describes a relaxed CaCr4S8 crystal. The functional is GGA-PBEsol.

```
CaCr4S8
1.0
3.5240 2.0346 5.6076
-3.5240 2.0346 5.6076
0.0000 -4.0692 5.6076
Ca Cr S
1 4 8
direct
0.0000 0.0000 0.0000 Ca
0.0000 0.5000 0.5000 Cr
0.5000 0.0000 0.5000 Cr
0.5000 0.5000 0.0000 Cr
0.5000 0.5000 0.5000 Cr
0.2604 0.2604 0.2604 S
0.2662 0.2662 0.7159 S
0.2662 0.7159 0.2662 S
0.2841 0.7338 0.7338 S
0.7159 0.2662 0.2662 S
0.7338 0.2841 0.7338 S
0.7338 0.7338 0.2841 S
0.7396 0.7396 0.7396 S
```

Computed properties:
energy = -6.81 eV/atom
ΔE_f (raw) = -799.9 meV/atom
DOS(E_F) = 8.783 states/eV per cell
symmetry = R-3m
density = 3.5 g cm⁻³

***

13.
This record from the Alexandria database describes a relaxed CuSbCl crystal. The functional is GGA-PBEsol.

```
CuSbCl
1.0
-1.5612 1.5612 6.0653
1.5612 -1.5612 6.0653
1.5612 1.5612 -6.0653
Cu Sb Cl
1 1 1
direct
0.0000 0.0000 0.0000 Cu
0.6482 0.6482 0.0000 Sb
0.3837 0.3837 0.0000 Cl
```

Computed properties:
ΔE to the lowest computed polymorph = 0 meV/atom
energy = -3.63 eV/atom
ΔE_f (raw) = -0.8 meV/atom
DOS(E_F) = 1.386 states/eV per cell
symmetry = I4mm
density = 6.2 g cm⁻³

***

14.
This record from the Alexandria database describes a relaxed SbPSeBr2 crystal. The functional is GGA-PBEsol.

```
SbPSeBr2
1.0
5.3780 0.0000 0.0000
0.0000 5.3780 0.0000
0.0000 0.0000 5.5200
Sb P Se Br
1 1 1 2
direct
0.0000 0.0000 0.0000 Sb
0.5000 0.5000 0.5000 P
0.0000 0.0000 0.5000 Se
0.0000 0.5000 0.0000 Br
0.5000 0.0000 0.0000 Br
```

Computed properties:
energy = -2.99 eV/atom
ΔE_f (raw) = 601.1 meV/atom
DOS(E_F) = 2.685 states/eV per cell
symmetry = P4/mmm
density = 4.1 g cm⁻³

***

15.
This record from the Alexandria database describes a relaxed LiPb3 crystal. The functional is GGA-PBEsol.

```
LiPb3
1.0
3.4491 0.0000 0.0000
-1.7246 2.9870 0.0000
0.0000 0.0000 10.3880
Li Pb
1 3
direct
0.0000 0.0000 0.0000 Li
0.0000 0.0000 0.5000 Pb
0.3333 0.6667 0.2255 Pb
0.3333 0.6667 0.7745 Pb
```

Computed properties:
energy = -3.58 eV/atom
DOS(E_F) = 1.742 states/eV per cell
symmetry = P-6m2
density = 9.8 g cm⁻³

***

16.
This record from the Alexandria database describes a relaxed KNi2As crystal. The functional is GGA-PBEsol.

```
KNi2As
1.0
3.4946 -2.0048 0.0000
3.4946 2.0048 0.0000
-1.7123 0.0000 5.8955
K Ni As
1 2 1
direct
0.0000 0.0000 0.0000 K
0.1353 0.1353 0.5319 Ni
0.4451 0.4451 0.4379 Ni
0.7832 0.7832 0.4608 As
```

Computed properties:
energy = -4.79 eV/atom
DOS(E_F) = 2.814 states/eV per cell
symmetry = Cm
density = 4.7 g cm⁻³

***

17.
This record from the Alexandria database describes a relaxed PSBrN2 crystal. The functional is GGA-PBEsol.

```
PSBrN2
1.0
3.4225 0.0000 0.0000
0.0000 3.4225 0.0000
0.0000 0.0000 5.5692
P S Br N
1 1 1 2
direct
0.0000 0.0000 0.0000 P
0.0000 0.0000 0.5000 S
0.5000 0.5000 0.5000 Br
0.0000 0.5000 0.0000 N
0.5000 0.0000 0.0000 N
```

Computed properties:
energy = -5.01 eV/atom
ΔE_f (raw) = 805.9 meV/atom
DOS(E_F) = 1.905 states/eV per cell
symmetry = P4/mmm
density = 4.4 g cm⁻³

***

18.
This record from the Alexandria database describes a relaxed Cu2RuI crystal. The functional is GGA-PBEsol.

```
Cu2RuI
1.0
0.0000 3.1308 3.1308
3.1308 0.0000 3.1308
3.1308 3.1308 0.0000
Cu Ru I
2 1 1
direct
0.2500 0.2500 0.2500 Cu
0.7500 0.7500 0.7500 Cu
0.0000 0.0000 0.0000 Ru
0.5000 0.5000 0.5000 I
```

Computed properties:
energy = -4.19 eV/atom
ΔE_f (raw) = 960.0 meV/atom
DOS(E_F) = 4.112 states/eV per cell
symmetry = Fm-3m
density = 9.6 g cm⁻³

***

19.
This record from the Alexandria database describes a relaxed RbS crystal. The functional is GGA-PBEsol.

```
RbS
1.0
-2.4539 3.4111 4.2858
2.4539 -3.4111 4.2858
2.4539 3.4111 -4.2858
Rb S
2 2
direct
0.2259 0.2259 0.0000 Rb
0.7741 0.7741 0.0000 Rb
0.1549 0.5000 0.6549 S
0.8451 0.5000 0.3451 S
```

Computed properties:
energy = -3.63 eV/atom
ΔE_f (raw) = -922.2 meV/atom
DOS(E_F) = 0.000 states/eV per cell
symmetry = Immm
density = 2.7 g cm⁻³

***

20.
This record from the Alexandria database describes a relaxed Ti2SbC crystal. The functional is GGA-PBEsol.

```
Ti2SbC
1.0
0.0000 3.1068 3.1068
3.1068 0.0000 3.1068
3.1068 3.1068 0.0000
Ti Sb C
2 1 1
direct
0.2500 0.2500 0.2500 Ti
0.7500 0.7500 0.7500 Ti
0.0000 0.0000 0.0000 Sb
0.5000 0.5000 0.5000 C
```

Computed properties:
energy = -7.10 eV/atom
ΔE_f (raw) = 611.9 meV/atom
DOS(E_F) = 6.068 states/eV per cell
symmetry = Fm-3m
density = 6.4 g cm⁻³